# Ru3Rh (PBE, relaxed)
# E_tot (eV per atom): -8.729
# Fermi-level density of states (states/eV/atom): 1.1484
# Formation energy from the elements (kcal/mol of atoms): 1.5
data_Ru3Rh
_chemical_formula_sum 'Ru6 Rh2'
_space_group_name_H-M_alt 'C 1 2/m 1'
_space_group_IT_number 12
_cell_length_a 8.996
_cell_length_b 2.696
_cell_length_c 4.680
_cell_angle_alpha 90.00
_cell_angle_beta 99.94
_cell_angle_gamma 90.00
loop_
_space_group_symop_operation_xyz
'x,y,z'
'-x,-y,-z'
'-x,y,-z'
'x,-y,z'
'x+1/2,y+1/2,z'
'-x+1/2,-y+1/2,-z'
'-x+1/2,y+1/2,-z'
'x+1/2,-y+1/2,z'
loop_
_atom_site_label
_atom_site_fract_x
_atom_site_fract_y
_atom_site_fract_z
Ru1 0.000 0.000 0.000
Ru2 0.248 0.500 0.246
Rh1 0.000 0.500 0.500